Material: BaAs2PRh
Method: DFT, PBE
State: optimized geometry

* E_form: -0.2133 eV per atom

Cell lengths 5.235, 4.461, 5.235 Å; angles 90.00, 90.00, 90.00 degrees
Positions (direct):
P: 0.000 0.500 0.000
As: 0.000 0.000 0.500
As: 0.500 0.000 0.000
Rh: 0.000 0.000 0.000
Ba: 0.500 0.500 0.500

***

Material: Sm5AlTl2
Method: DFT, PBE
State: optimized geometry

* E above lowest polymorph: 0.000 eV/atom
* E_form: -0.2990 eV per atom

Cell lengths 5.241, 6.802, 13.218 Å; angles 90.00, 90.00, 90.00 degrees
Positions (direct):
Sm: 0.000 0.000 0.500
Sm: 0.000 0.500 0.000
Sm: 0.000 0.858 0.221
Sm: 0.000 0.142 0.779
Sm: 0.000 0.642 0.721
Sm: 0.000 0.358 0.279
Sm: 0.500 0.653 0.399
Sm: 0.500 0.347 0.601
Sm: 0.500 0.847 0.899
Sm: 0.500 0.153 0.101
Al: 0.000 0.500 0.500
Al: 0.000 0.000 0.000
Tl: 0.500 0.619 0.149
Tl: 0.500 0.381 0.851
Tl: 0.500 0.881 0.649
Tl: 0.500 0.119 0.351

***

Material: PmY2Cd8
Method: DFT, PBE
State: optimized geometry

* E_form: -0.1977 eV per atom

Cell lengths 5.124, 7.208, 8.694 Å; angles 114.47, 107.14, 90.00 degrees
Positions (direct):
Pm: 0.500 0.000 0.000
Y: 0.192 0.691 0.383
Y: 0.808 0.309 0.617
Cd: 0.650 0.863 0.300
Cd: 0.350 0.563 0.701
Cd: 0.159 0.159 0.317
Cd: 0.000 0.292 0.000
Cd: 0.841 0.841 0.683
Cd: 0.650 0.437 0.299
Cd: 0.350 0.137 0.700
Cd: 0.000 0.708 0.000

***

Material: PuPaIn
Method: DFT, PBE
State: optimized geometry

* E above lowest polymorph: 0.675 eV/atom
* E_form: 0.6758 eV per atom

Cell lengths 4.652, 4.652, 8.318 Å; angles 73.76, 73.76, 60.00 degrees
Positions (direct):
Pu: 0.993 0.679 0.334
Pu: 0.209 0.894 0.688
Pa: 0.583 0.269 0.564
Pa: 0.312 0.998 0.377
In: 0.451 0.137 0.960
In: 0.734 0.420 0.111

***

Material: SiAg2Mo
Method: DFT, PBE
State: optimized geometry

* uncorrected formation energy: 0.457 eV per atom

Cell lengths 5.501, 5.501, 5.501 Å; angles 150.30, 126.16, 62.70 degrees
Positions (direct):
Ag: 0.022 0.022 0.000
Ag: 0.752 0.252 0.500
Mo: 0.473 0.473 0.000
Si: 0.253 0.753 0.500

***

Material: BaZrS2
Method: DFT, PBE
State: optimized geometry

* E above lowest polymorph: 0.283 eV/atom
* uncorrected formation energy: -1.008 eV per atom

Cell lengths 8.697, 8.697, 8.697 Å; angles 29.53, 29.53, 29.53 degrees
Positions (direct):
S: 0.904 0.904 0.904
S: 0.096 0.096 0.096
Ba: 0.500 0.500 0.500
Zr: 0.000 0.000 0.000

***

Material: Nd4Ho9In11
Method: DFT, PBE
State: optimized geometry

* E_form: -0.3947 eV per atom

Cell lengths 3.481, 14.232, 14.232 Å; angles 111.25, 90.00, 90.00 degrees
Positions (direct):
Nd: 0.500 0.595 0.757
Nd: 0.500 0.405 0.243
Nd: 0.500 0.757 0.595
Nd: 0.500 0.243 0.405
Ho: 0.500 0.611 0.167
Ho: 0.500 0.389 0.833
Ho: 0.500 0.167 0.611
Ho: 0.500 0.833 0.389
Ho: 0.500 0.797 0.992
Ho: 0.500 0.203 0.008
Ho: 0.500 0.992 0.797
Ho: 0.500 0.008 0.203
Ho: 0.500 0.500 0.500
In: 0.000 0.591 0.962
In: 0.000 0.409 0.038
In: 0.000 0.962 0.591
In: 0.000 0.038 0.409
In: 0.000 0.621 0.379
In: 0.000 0.379 0.621
In: 0.000 0.810 0.190
In: 0.000 0.190 0.810
In: 0.000 0.000 0.000
In: 0.000 0.804 0.804
In: 0.000 0.196 0.196

***

Material: La5Tb2In4
Method: DFT, PBE
State: optimized geometry

* E above lowest polymorph: 0.474 eV/atom
* E_form: 0.1479 eV per atom

Cell lengths 3.477, 9.425, 12.536 Å; angles 112.08, 97.97, 90.00 degrees
Positions (direct):
La: 0.158 0.476 0.315
La: 0.842 0.524 0.685
La: 0.158 0.839 0.315
La: 0.500 0.000 0.000
La: 0.842 0.161 0.685
Tb: 0.116 0.116 0.233
Tb: 0.884 0.884 0.767
In: 0.755 0.755 0.509
In: 0.000 0.332 0.000
In: 0.245 0.245 0.491
In: 0.000 0.668 0.000

***

Material: Hf4Ga2N
Method: DFT, PBE
State: optimized geometry

* E above lowest polymorph: 0.000 eV/atom
* uncorrected formation energy: -0.721 eV per atom

Cell lengths 3.276, 7.377, 10.520 Å; angles 90.00, 90.00, 90.00 degrees
Positions (direct):
Hf: 0.000 0.633 0.810
Hf: 0.000 0.367 0.190
Hf: 0.000 0.133 0.690
Hf: 0.000 0.867 0.310
Hf: 0.500 0.818 0.568
Hf: 0.500 0.182 0.432
Hf: 0.500 0.682 0.068
Hf: 0.500 0.318 0.932
Ga: 0.500 0.941 0.864
Ga: 0.500 0.059 0.136
Ga: 0.500 0.441 0.636
Ga: 0.500 0.559 0.364
N: 0.000 0.000 0.500
N: 0.000 0.500 0.000

***

Material: ZrOsIN2
Method: DFT, PBE
State: optimized geometry

* E above lowest polymorph: 0.404 eV/atom
* uncorrected formation energy: 1.381 eV per atom

Cell lengths 4.113, 4.113, 6.124 Å; angles 90.00, 90.00, 90.00 degrees
Positions (direct):
I: 0.000 0.000 0.500
Os: 0.500 0.500 0.500
Zr: 0.000 0.000 0.000
N: 0.000 0.500 0.000
N: 0.500 0.000 0.000